1.
DFT (PBE) results for crystalline TcPbW2 at its relaxed geometry.

Values from the calculation:
- DFT total energy: -9.35 eV per atom
- Formation energy from the elements: 643 meV per atom
- DOS at the Fermi energy: 3.66 states/eV per cell

Structure (POSCAR):
```
TcPbW2
1.0
-2.653 0.992 -0.591
1.110 -1.380 -2.287
-3.663 -7.985 3.041
W Tc Pb
2 1 1
direct
0.000 0.000 0.996 W
0.500 0.500 0.224 W
0.500 0.500 0.778 Tc
0.000 0.000 0.502 Pb
```

2.
DFT (PBE) results for crystalline LaBeRe2 at its relaxed geometry.

Values from the calculation:
- DFT total energy: -7.68 eV per atom
- Formation energy from the elements: 709 meV per atom
- DOS at the Fermi energy: 3.87 states/eV per cell

Structure (POSCAR):
```
LaBeRe2
1.0
5.520 0.004 0.007
2.286 5.025 -0.007
-3.196 -3.612 2.685
La Re Be
1 2 1
direct
0.247 0.747 0.500 La
0.962 0.962 0.000 Re
0.751 0.251 0.500 Re
0.541 0.541 0.000 Be
```

3.
DFT (PBE) results for crystalline MgAgAs2 at its relaxed geometry.

Values from the calculation:
- DFT total energy: -3.43 eV per atom
- Formation energy from the elements: 2 meV per atom
- DOS at the Fermi energy: 2.58 states/eV per cell

Structure (POSCAR):
```
MgAgAs2
1.0
-1.592 3.030 1.827
-3.538 -1.375 -0.801
0.031 -2.808 4.684
As Mg Ag
2 1 1
direct
0.000 0.000 0.874 As
0.500 0.500 0.376 As
0.000 0.000 0.374 Mg
0.500 0.500 0.876 Ag
```

4.
DFT (PBE) results for crystalline Ba2NiH6Pt at its relaxed geometry.

Values from the calculation:
- DFT total energy: -4.04 eV per atom
- DOS at the Fermi energy: 0.90 states/eV per cell

Structure (POSCAR):
```
Ba2NiH6Pt
1.0
-2.373 -4.482 -1.954
-1.820 -1.206 4.977
-5.749 -0.569 0.728
Ba H Ni Pt
2 6 1 1
direct
0.250 0.750 0.500 Ba
0.750 0.250 0.500 Ba
0.270 0.270 0.000 H
0.819 0.819 0.362 H
0.270 0.730 0.000 H
0.730 0.730 0.000 H
0.181 0.181 0.638 H
0.730 0.270 0.000 H
0.000 0.000 0.000 Ni
0.500 0.500 0.000 Pt
```

5.
DFT (PBE) results for crystalline SrPr3O6 at its relaxed geometry.

Values from the calculation:
- DFT total energy: -7.53 eV per atom
- Uncorrected formation energy: -2951 meV/atom
- DOS at the Fermi energy: 12.94 states/eV per cell

Structure (POSCAR):
```
SrPr3O6
1.0
7.153 -0.009 -0.010
-0.165 7.151 -0.010
-0.165 -0.168 7.149
Sr O Pr
2 12 6
direct
0.000 0.000 0.000 Sr
0.500 0.500 0.500 Sr
0.389 0.174 0.519 O
0.326 0.891 0.068 O
0.611 0.826 0.481 O
0.932 0.674 0.109 O
0.174 0.519 0.389 O
0.891 0.068 0.326 O
0.519 0.389 0.174 O
0.068 0.326 0.891 O
0.674 0.109 0.932 O
0.481 0.611 0.826 O
0.826 0.481 0.611 O
0.109 0.932 0.674 O
0.250 0.554 0.061 Pr
0.554 0.061 0.250 Pr
0.061 0.250 0.554 Pr
0.750 0.446 0.939 Pr
0.939 0.750 0.446 Pr
0.446 0.939 0.750 Pr
```

6.
DFT (PBE) results for crystalline Na2H4I3 at its relaxed geometry.

Values from the calculation:
- DFT total energy: -2.78 eV per atom
- DOS at the Fermi energy: 3.28 states/eV per cell

Structure (POSCAR):
```
Na2H4I3
1.0
-1.786 -4.033 -5.404
3.961 -0.865 -2.675
1.330 -6.405 3.633
Na H I
2 4 3
direct
0.348 0.709 0.722 Na
0.652 0.291 0.278 Na
0.932 0.509 0.309 H
0.865 0.573 0.391 H
0.135 0.427 0.609 H
0.068 0.491 0.691 H
0.000 0.000 0.000 I
0.649 0.071 0.683 I
0.351 0.929 0.317 I
```

7.
DFT (PBE) results for crystalline BaReAg at its relaxed geometry.

Values from the calculation:
- DFT total energy: -4.66 eV per atom
- Polymorph energy (0 for the lowest one): 0.0573 eV per atom
- Formation energy from the elements: 1079 meV per atom
- DOS at the Fermi energy: 3.15 states/eV per cell

Structure (POSCAR):
```
BaReAg
1.0
7.711 -0.015 0.016
7.120 2.960 0.004
0.591 0.130 2.972
Ba Re Ag
1 1 1
direct
0.328 0.328 0.672 Ba
0.648 0.648 0.352 Re
0.023 0.023 0.977 Ag
```

8.
DFT (PBE) results for crystalline TeMo2W at its relaxed geometry.

Values from the calculation:
- DFT total energy: -8.95 eV per atom
- Uncorrected formation energy: 491 meV/atom
- DOS at the Fermi energy: 3.61 states/eV per cell

Structure (POSCAR):
```
TeMo2W
1.0
3.094 0.000 0.000
0.000 4.244 0.000
0.000 0.000 5.344
W Mo Te
1 2 1
direct
0.500 0.500 0.777 W
0.000 0.000 0.992 Mo
0.500 0.500 0.238 Mo
0.000 0.000 0.493 Te
```

9.
DFT (PBE) results for crystalline In6Hg2Ge at its relaxed geometry.

Values from the calculation:
- DFT total energy: -2.33 eV per atom
- Formation energy from the elements: 72 meV per atom
- DOS at the Fermi energy: 6.10 states/eV per cell

Structure (POSCAR):
```
In6Hg2Ge
1.0
-1.916 3.366 -5.345
-4.246 -5.151 -1.722
-10.030 8.256 0.039
In Hg Ge
12 4 2
direct
0.274 0.962 0.244 In
0.646 0.204 0.492 In
0.226 0.462 0.256 In
0.854 0.704 0.008 In
0.791 0.639 0.505 In
0.146 0.296 0.992 In
0.354 0.796 0.508 In
0.774 0.538 0.744 In
0.709 0.139 0.995 In
0.291 0.861 0.005 In
0.726 0.038 0.756 In
0.209 0.361 0.495 In
0.261 0.511 0.749 Hg
0.239 0.011 0.751 Hg
0.761 0.989 0.249 Hg
0.739 0.489 0.251 Hg
0.500 0.500 0.000 Ge
0.000 0.000 0.500 Ge
```

10.
DFT (PBE) results for crystalline La3Nd5Sm at its relaxed geometry.

Values from the calculation:
- DFT total energy: -4.44 eV per atom
- Formation energy from the elements: 377 meV per atom
- DOS at the Fermi energy: 30.09 states/eV per cell

Structure (POSCAR):
```
La3Nd5Sm
1.0
7.490 0.193 -0.261
2.236 7.152 -0.261
3.214 2.427 12.686
Nd La Sm
10 6 2
direct
0.685 0.315 0.000 Nd
0.735 0.735 0.042 Nd
0.576 0.576 0.382 Nd
0.029 0.649 0.779 Nd
0.315 0.685 0.000 Nd
0.351 0.971 0.221 Nd
0.971 0.351 0.221 Nd
0.424 0.424 0.618 Nd
0.649 0.029 0.779 Nd
0.265 0.265 0.958 Nd
0.725 0.725 0.550 La
0.562 0.562 0.791 La
0.000 0.000 0.500 La
0.000 0.000 0.000 La
0.438 0.438 0.209 La
0.275 0.275 0.450 La
0.876 0.876 0.266 Sm
0.124 0.124 0.734 Sm
```

11.
DFT (PBE) results for crystalline Cr2ReNi at its relaxed geometry.

Values from the calculation:
- DFT total energy: -9.32 eV per atom
- Formation energy from the elements: 49 meV per atom
- DOS at the Fermi energy: 2.35 states/eV per cell

Structure (POSCAR):
```
Cr2ReNi
1.0
-1.775 2.360 2.189
-2.489 -2.591 0.776
2.018 -1.095 2.816
Cr Re Ni
2 1 1
direct
0.500 0.500 0.000 Cr
0.000 0.000 0.000 Cr
0.000 0.500 0.500 Re
0.500 0.000 0.500 Ni
```

12.
DFT (PBE) results for crystalline BiAuS2 at its relaxed geometry.

Values from the calculation:
- DFT total energy: -3.98 eV per atom
- Uncorrected formation energy: -125 meV/atom
- DOS at the Fermi energy: 0.00 states/eV per cell

Structure (POSCAR):
```
BiAuS2
1.0
7.861 0.000 0.000
0.000 8.016 0.000
0.000 0.000 6.656
S Au Bi
8 4 4
direct
0.506 0.653 0.630 S
0.006 0.847 0.630 S
0.494 0.347 0.130 S
0.397 0.826 0.155 S
0.994 0.153 0.130 S
0.603 0.174 0.655 S
0.897 0.674 0.155 S
0.103 0.326 0.655 S
0.834 0.158 0.432 Au
0.334 0.342 0.432 Au
0.166 0.842 0.932 Au
0.666 0.658 0.932 Au
0.841 0.568 0.533 Bi
0.159 0.432 0.033 Bi
0.659 0.068 0.033 Bi
0.341 0.932 0.533 Bi
```

13.
DFT (PBE) results for crystalline CaCd2InHg2 at its relaxed geometry.

Values from the calculation:
- DFT total energy: -1.36 eV per atom
- Formation energy from the elements: -164 meV per atom
- DOS at the Fermi energy: 2.70 states/eV per cell

Structure (POSCAR):
```
CaCd2InHg2
1.0
-4.523 -0.198 2.977
-0.181 -3.086 4.450
0.491 3.762 5.928
Hg In Cd Ca
2 1 2 1
direct
0.656 0.656 0.032 Hg
0.344 0.344 0.968 Hg
0.500 0.500 0.500 In
0.189 0.189 0.433 Cd
0.811 0.811 0.567 Cd
0.000 0.000 0.000 Ca
```

14.
DFT (PBE) results for crystalline Ti3CuPt at its relaxed geometry.

Values from the calculation:
- DFT total energy: -6.76 eV per atom
- Polymorph energy (0 for the lowest one): 0.0000 eV per atom
- Formation energy from the elements: 1 meV per atom
- DOS at the Fermi energy: 11.65 states/eV per cell

Structure (POSCAR):
```
Ti3CuPt
1.0
4.373 0.000 0.000
0.000 6.699 0.002
0.000 -3.346 5.803
Cu Ti Pt
2 6 2
direct
0.000 0.000 0.000 Cu
0.500 0.000 0.000 Cu
0.750 0.195 0.805 Ti
0.250 0.391 0.196 Ti
0.250 0.805 0.195 Ti
0.250 0.804 0.609 Ti
0.750 0.609 0.804 Ti
0.750 0.196 0.391 Ti
0.250 0.334 0.666 Pt
0.750 0.666 0.334 Pt
```

15.
DFT (PBE) results for crystalline Sm2HoMg2 at its relaxed geometry.

Values from the calculation:
- DFT total energy: -3.39 eV per atom
- Polymorph energy (0 for the lowest one): 0.1173 eV per atom
- Formation energy from the elements: 51 meV per atom
- DOS at the Fermi energy: 7.26 states/eV per cell

Structure (POSCAR):
```
Sm2HoMg2
1.0
-0.586 -5.009 -1.413
3.656 -1.943 -4.334
3.925 -3.865 2.365
Sm Mg Ho
2 2 1
direct
0.196 0.304 0.304 Sm
0.804 0.696 0.696 Sm
0.500 0.291 0.709 Mg
0.500 0.709 0.291 Mg
0.000 0.000 0.000 Ho
```

16.
DFT (PBE) results for crystalline CaTeCl2 at its relaxed geometry.

Values from the calculation:
- DFT total energy: -3.20 eV per atom
- Uncorrected formation energy: -991 meV/atom
- Polymorph energy (0 for the lowest one): 0.4659 eV per atom
- DOS at the Fermi energy: 1.85 states/eV per cell

Structure (POSCAR):
```
CaTeCl2
1.0
4.504 0.000 0.000
0.000 4.743 0.000
0.000 0.000 4.743
Cl Te Ca
2 1 1
direct
0.000 0.500 0.500 Cl
0.000 0.000 0.000 Cl
0.500 0.500 0.000 Te
0.500 0.000 0.500 Ca
```

17.
DFT (PBE) results for crystalline LaPmSm5Ho2 at its relaxed geometry.

Values from the calculation:
- DFT total energy: -4.56 eV per atom
- Formation energy from the elements: 152 meV per atom
- DOS at the Fermi energy: 28.15 states/eV per cell

Structure (POSCAR):
```
LaPmSm5Ho2
1.0
-0.766 0.751 -5.597
-9.337 -2.894 3.790
-2.486 10.271 1.717
La Sm Ho Pm
2 10 4 2
direct
0.417 0.835 0.449 La
0.583 0.165 0.949 La
0.983 0.966 0.526 Sm
0.389 0.778 0.026 Sm
0.703 0.407 0.206 Sm
0.478 0.957 0.739 Sm
0.522 0.043 0.239 Sm
0.611 0.222 0.526 Sm
0.719 0.437 0.812 Sm
0.017 0.034 0.026 Sm
0.297 0.593 0.706 Sm
0.281 0.563 0.312 Sm
0.115 0.231 0.322 Ho
0.885 0.769 0.822 Ho
0.112 0.224 0.733 Ho
0.888 0.776 0.233 Ho
0.201 0.403 0.011 Pm
0.799 0.597 0.511 Pm
```

18.
DFT (PBE) results for crystalline Rb2NaHF at its relaxed geometry.

Values from the calculation:
- DFT total energy: -2.33 eV per atom
- DOS at the Fermi energy: 0.97 states/eV per cell

Structure (POSCAR):
```
Rb2NaHF
1.0
5.286 0.000 0.000
0.000 6.946 0.000
0.000 0.000 5.286
F Rb H Na
1 2 1 1
direct
0.000 0.000 0.000 F
0.500 0.000 0.000 Rb
0.000 0.000 0.500 Rb
0.000 0.500 0.000 H
0.500 0.500 0.500 Na
```

19.
DFT (PBE) results for crystalline Rb2TmSb2Te6 at its relaxed geometry.

Values from the calculation:
- DFT total energy: -3.72 eV per atom
- Uncorrected formation energy: -679 meV/atom
- DOS at the Fermi energy: 6.11 states/eV per cell

Structure (POSCAR):
```
Rb2TmSb2Te6
1.0
7.596 -0.019 0.052
-3.771 6.594 0.052
-1.378 -2.369 8.859
Te Rb Sb Tm
6 2 2 1
direct
0.734 0.734 0.693 Te
0.399 0.069 0.694 Te
0.069 0.399 0.694 Te
0.601 0.931 0.306 Te
0.266 0.266 0.307 Te
0.931 0.601 0.306 Te
0.832 0.168 0.000 Rb
0.168 0.832 0.000 Rb
0.331 0.669 0.500 Sb
0.669 0.331 0.500 Sb
0.000 0.000 0.500 Tm
```

20.
DFT (PBE) results for crystalline Y2Ni4Ge3Ru at its relaxed geometry.

Values from the calculation:
- DFT total energy: -6.47 eV per atom
- Formation energy from the elements: -557 meV per atom
- DOS at the Fermi energy: 9.38 states/eV per cell

Structure (POSCAR):
```
Y2Ni4Ge3Ru
1.0
3.992 0.000 0.000
0.000 3.992 0.000
0.000 0.000 10.098
Ni Y Ge Ru
4 2 3 1
direct
0.000 0.000 0.000 Ni
0.000 0.500 0.361 Ni
0.500 0.500 0.000 Ni
0.500 0.000 0.639 Ni
0.500 0.000 0.247 Y
0.000 0.500 0.753 Y
0.000 0.500 0.129 Ge
0.500 0.000 0.871 Ge
0.000 0.000 0.500 Ge
0.500 0.500 0.500 Ru
```

21.
DFT (PBE) results for crystalline La6TbEr12 at its relaxed geometry.

Values from the calculation:
- DFT total energy: -4.46 eV per atom
- Formation energy from the elements: 223 meV per atom
- DOS at the Fermi energy: 32.06 states/eV per cell

Structure (POSCAR):
```
La6TbEr12
1.0
-6.727 2.591 -4.990
-4.382 -1.563 7.431
3.270 7.881 2.018
Er La Tb
12 6 1
direct
0.500 0.246 0.754 Er
0.246 0.754 0.500 Er
0.080 0.355 0.355 Er
0.355 0.355 0.080 Er
0.754 0.500 0.246 Er
0.645 0.920 0.645 Er
0.355 0.080 0.355 Er
0.754 0.246 0.500 Er
0.246 0.500 0.754 Er
0.500 0.754 0.246 Er
0.645 0.645 0.920 Er
0.920 0.645 0.645 Er
0.346 0.904 0.904 La
0.096 0.096 0.654 La
0.904 0.346 0.904 La
0.904 0.904 0.346 La
0.654 0.096 0.096 La
0.096 0.654 0.096 La
0.000 0.000 0.000 Tb
```

22.
DFT (PBE) results for crystalline RbAuSe2Br at its relaxed geometry.

Values from the calculation:
- DFT total energy: -1.67 eV per atom
- Uncorrected formation energy: 908 meV/atom
- Polymorph energy (0 for the lowest one): 1.1786 eV per atom
- DOS at the Fermi energy: 4.99 states/eV per cell

Structure (POSCAR):
```
RbAuSe2Br
1.0
6.489 0.000 0.000
0.000 6.489 0.000
0.000 0.000 6.282
Se Rb Au Br
2 1 1 1
direct
0.500 0.000 0.000 Se
0.000 0.500 0.000 Se
0.000 0.000 0.000 Rb
0.500 0.500 0.500 Au
0.000 0.000 0.500 Br
```

23.
DFT (PBE) results for crystalline Rb3FeRu at its relaxed geometry.

Values from the calculation:
- DFT total energy: -2.48 eV per atom
- Formation energy from the elements: 1643 meV per atom
- DOS at the Fermi energy: 21.19 states/eV per cell

Structure (POSCAR):
```
Rb3FeRu
1.0
6.130 0.000 0.000
0.000 6.130 0.000
0.000 0.000 6.130
Fe Rb Ru
1 3 1
direct
0.500 0.500 0.500 Fe
0.000 0.500 0.000 Rb
0.500 0.000 0.000 Rb
0.000 0.000 0.500 Rb
0.000 0.000 0.000 Ru
```